1.
# NaIn2Bi2, relaxed, DFT GGA-PBEsol
data_NaIn2Bi2
_cell_length_a 4.767
_cell_length_b 4.767
_cell_length_c 14.477
_cell_angle_alpha 90.00
_cell_angle_beta 90.00
_cell_angle_gamma 90.00
_symmetry_space_group_name_H-M 'I 4/m m m'
_symmetry_Int_Tables_number 139
_symmetry_space_group_name_Hall '-I 4 2'
loop_
_atom_site_label
_atom_site_type_symbol
_atom_site_fract_x
_atom_site_fract_y
_atom_site_fract_z
Na1 Na 0.000 0.000 0.000
In1 In 0.000 0.500 0.250
Bi1 Bi 0.000 0.000 0.385
# ΔE to the lowest computed polymorph = 0.003 eV per atom
# final energy = -32.50 eV for the cell shown

2.
# BaBi3, relaxed, DFT GGA-PBEsol
data_BaBi3
_cell_length_a 5.075
_cell_length_b 5.075
_cell_length_c 5.075
_cell_angle_alpha 90.00
_cell_angle_beta 90.00
_cell_angle_gamma 90.00
_symmetry_space_group_name_H-M 'P m -3 m'
_symmetry_Int_Tables_number 221
_symmetry_space_group_name_Hall '-P 4 2 3'
loop_
_atom_site_label
_atom_site_type_symbol
_atom_site_fract_x
_atom_site_fract_y
_atom_site_fract_z
Ba1 Ba 0.000 0.000 0.000
Bi1 Bi 0.000 0.500 0.500
# final energy = -17.09 eV for the cell shown

3.
# ZnSb2ClO, relaxed, DFT GGA-PBEsol
data_ZnSb2ClO
_cell_length_a 5.084
_cell_length_b 5.084
_cell_length_c 4.563
_cell_angle_alpha 90.00
_cell_angle_beta 90.00
_cell_angle_gamma 90.00
_symmetry_space_group_name_H-M 'P 4/m m m'
_symmetry_Int_Tables_number 123
_symmetry_space_group_name_Hall '-P 4 2'
loop_
_atom_site_label
_atom_site_type_symbol
_atom_site_fract_x
_atom_site_fract_y
_atom_site_fract_z
Zn1 Zn 0.000 0.000 0.000
Sb1 Sb 0.000 0.500 0.000
Cl1 Cl 0.000 0.000 0.500
O1 O 0.500 0.500 0.500
# raw formation energy = 0.669 eV per atom
# final energy = -14.61 eV for the cell shown

Repeat the second record exactly.
# BaBi3, relaxed, DFT GGA-PBEsol
data_BaBi3
_cell_length_a 5.075
_cell_length_b 5.075
_cell_length_c 5.075
_cell_angle_alpha 90.00
_cell_angle_beta 90.00
_cell_angle_gamma 90.00
_symmetry_space_group_name_H-M 'P m -3 m'
_symmetry_Int_Tables_number 221
_symmetry_space_group_name_Hall '-P 4 2 3'
loop_
_atom_site_label
_atom_site_type_symbol
_atom_site_fract_x
_atom_site_fract_y
_atom_site_fract_z
Ba1 Ba 0.000 0.000 0.000
Bi1 Bi 0.000 0.500 0.500
# final energy = -17.09 eV for the cell shown

What is the formula in the first record? NaIn2Bi2